1.
First-principles (PBEsol) data for an optimized crystal structure of ZrRhF2, as listed in the Alexandria database.

a = 5.840 Å, b = 5.840 Å, c = 5.840 Å
α = 90.00°, β = 90.00°, γ = 90.00°
Fractional positions:
1 Zr 0.000 0.000 0.000
2 Zr 0.000 0.500 0.500
3 Zr 0.500 0.000 0.500
4 Zr 0.500 0.500 0.000
5 Rh 0.000 0.000 0.500
6 Rh 0.000 0.500 0.000
7 Rh 0.500 0.000 0.000
8 Rh 0.500 0.500 0.500
9 F 0.250 0.250 0.250
10 F 0.250 0.250 0.750
11 F 0.250 0.750 0.250
12 F 0.250 0.750 0.750
13 F 0.750 0.250 0.250
14 F 0.750 0.250 0.750
15 F 0.750 0.750 0.250
16 F 0.750 0.750 0.750

## Properties
ΔE_f (raw)   -1061 meV per atom
V   199.2 Å³ per cell
Space group   Fm-3m, No. 225
Spin magnetization   0.0 μB/f.u.

2.
First-principles (PBEsol) data for an optimized crystal structure of Ru3F, as listed in the Alexandria database.

a = 5.864 Å, b = 5.864 Å, c = 5.864 Å
α = 90.00°, β = 90.00°, γ = 90.00°
Fractional positions:
1 Ru 0.000 0.000 0.000
2 Ru 0.000 0.500 0.500
3 Ru 0.250 0.250 0.250
4 Ru 0.250 0.250 0.750
5 Ru 0.250 0.750 0.250
6 Ru 0.250 0.750 0.750
7 Ru 0.500 0.000 0.500
8 Ru 0.500 0.500 0.000
9 Ru 0.750 0.250 0.250
10 Ru 0.750 0.250 0.750
11 Ru 0.750 0.750 0.250
12 Ru 0.750 0.750 0.750
13 F 0.000 0.000 0.500
14 F 0.000 0.500 0.000
15 F 0.500 0.000 0.000
16 F 0.500 0.500 0.500

## Properties
ΔE_f (raw)   392 meV per atom
V   201.7 Å³ per cell
Space group   Fm-3m, No. 225
Spin magnetization   0.0 μB/f.u.

3.
First-principles (PBEsol) data for an optimized crystal structure of RuF3, as listed in the Alexandria database.

a = 5.386 Å, b = 5.386 Å, c = 5.386 Å
α = 54.61°, β = 54.61°, γ = 54.61°
Fractional positions:
1 Ru 0.000 0.000 0.000
2 Ru 0.500 0.500 0.500
3 F 0.095 0.750 0.405
4 F 0.250 0.595 0.905
5 F 0.405 0.095 0.750
6 F 0.595 0.905 0.250
7 F 0.750 0.405 0.095
8 F 0.905 0.250 0.595

## Properties
ΔE_f (raw)   -1559 meV per atom
V   96.6 Å³ per cell
Space group   R-3c, No. 167
Spin magnetization   1.0 μB/f.u.

4.
First-principles (PBEsol) data for an optimized crystal structure of RuF5, as listed in the Alexandria database.

a = 5.543 Å, b = 9.958 Å, c = 12.538 Å
α = 90.00°, β = 100.34°, γ = 90.00°
Fractional positions:
1 Ru 0.005 0.247 0.498
2 Ru 0.005 0.253 0.998
3 Ru 0.301 0.502 0.699
4 Ru 0.301 0.998 0.199
5 Ru 0.699 0.002 0.801
6 Ru 0.699 0.498 0.301
7 Ru 0.995 0.747 0.002
8 Ru 0.995 0.753 0.502
9 F 0.023 0.572 0.740
10 F 0.023 0.928 0.240
11 F 0.093 0.155 0.139
12 F 0.093 0.345 0.639
13 F 0.093 0.668 0.134
14 F 0.093 0.832 0.634
15 F 0.192 0.106 0.554
16 F 0.192 0.394 0.054
17 F 0.195 0.590 0.555
18 F 0.195 0.910 0.055
19 F 0.264 0.683 0.952
20 F 0.264 0.817 0.452
21 F 0.268 0.170 0.953
22 F 0.268 0.330 0.453
23 F 0.386 0.088 0.326
24 F 0.386 0.412 0.826
25 F 0.444 0.572 0.356
26 F 0.444 0.928 0.856
27 F 0.478 0.651 0.747
28 F 0.478 0.849 0.247
29 F 0.522 0.151 0.753
30 F 0.522 0.349 0.253
31 F 0.556 0.072 0.144
32 F 0.556 0.428 0.644
33 F 0.614 0.588 0.174
34 F 0.614 0.912 0.674
35 F 0.732 0.670 0.547
36 F 0.732 0.830 0.047
37 F 0.736 0.183 0.548
38 F 0.736 0.317 0.048
39 F 0.805 0.090 0.945
40 F 0.805 0.410 0.445
41 F 0.808 0.606 0.946
42 F 0.808 0.894 0.446
43 F 0.907 0.168 0.366
44 F 0.907 0.332 0.866
45 F 0.907 0.655 0.361
46 F 0.907 0.845 0.861
47 F 0.977 0.072 0.760
48 F 0.977 0.428 0.260

## Properties
ΔE_f (raw)   -1680 meV per atom
V   680.8 Å³ per cell
Space group   P2_1/c, No. 14
Spin magnetization   3.0 μB/f.u.

5.
First-principles (PBEsol) data for an optimized crystal structure of SbRu3F, as listed in the Alexandria database.

a = 4.184 Å, b = 4.184 Å, c = 4.184 Å
α = 90.00°, β = 90.00°, γ = 90.00°
Fractional positions:
1 Sb 0.000 0.000 0.000
2 Ru 0.000 0.500 0.500
3 Ru 0.500 0.000 0.500
4 Ru 0.500 0.500 0.000
5 F 0.500 0.500 0.500

## Properties
ΔE_f (raw)   878 meV per atom
V   73.2 Å³ per cell
Space group   Pm-3m, No. 221
Spin magnetization   0.0 μB/f.u.

6.
First-principles (PBEsol) data for an optimized crystal structure of Sb2RuF, as listed in the Alexandria database.

a = 5.406 Å, b = 5.406 Å, c = 12.689 Å
α = 90.00°, β = 90.00°, γ = 90.00°
Fractional positions:
1 Sb 0.249 0.250 0.125
2 Sb 0.250 0.749 0.375
3 Sb 0.250 0.751 0.875
4 Sb 0.251 0.250 0.625
5 Sb 0.749 0.750 0.625
6 Sb 0.750 0.249 0.875
7 Sb 0.750 0.251 0.375
8 Sb 0.751 0.750 0.125
9 Ru 0.000 0.000 0.000
10 Ru 0.000 0.500 0.250
11 Ru 0.500 0.000 0.750
12 Ru 0.500 0.500 0.500
13 F 0.000 0.000 0.500
14 F 0.000 0.500 0.750
15 F 0.500 0.000 0.250
16 F 0.500 0.500 0.000

## Properties
ΔE_f (raw)   -189 meV per atom
V   370.9 Å³ per cell
Space group   I-42d, No. 122
Spin magnetization   0.0 μB/f.u.

7.
First-principles (PBEsol) data for an optimized crystal structure of Tc2SbRuF, as listed in the Alexandria database.

a = 5.027 Å, b = 5.027 Å, c = 4.789 Å
α = 90.00°, β = 90.00°, γ = 90.00°
Fractional positions:
1 Tc 0.000 0.500 0.000
2 Tc 0.500 0.000 0.000
3 Sb 0.000 0.000 0.000
4 Ru 0.000 0.000 0.500
5 F 0.500 0.500 0.500

## Properties
ΔE_f (raw)   2078 meV per atom
V   121.0 Å³ per cell
Space group   P4/mmm, No. 123
Spin magnetization   7.5 μB/f.u.

8.
First-principles (PBEsol) data for an optimized crystal structure of TiSbRuF2, as listed in the Alexandria database.

a = 3.799 Å, b = 3.799 Å, c = 5.393 Å
α = 90.00°, β = 90.00°, γ = 90.00°
Fractional positions:
1 Ti 0.000 0.000 0.000
2 Sb 0.500 0.500 0.500
3 Ru 0.000 0.000 0.500
4 F 0.000 0.500 0.000
5 F 0.500 0.000 0.000

## Properties
ΔE_f (raw)   -1444 meV per atom
V   77.8 Å³ per cell
Space group   P4/mmm, No. 123
Spin magnetization   0.0 μB/f.u.